A plane-wave DFT calculation with PBE was carried out for Dy4AlTlHg2 after structural relaxation.

a = 9.134 Å, b = 9.134 Å, c = 9.134 Å
α = 33.41°, β = 33.41°, γ = 33.41°
Sites, in units of the cell vectors:
Dy (0.122, 0.122, 0.122)
Dy (0.372, 0.372, 0.372)
Dy (0.628, 0.628, 0.628)
Dy (0.878, 0.878, 0.878)
Al (0.000, 0.000, 0.000)
Tl (0.500, 0.500, 0.500)
Hg (0.252, 0.252, 0.252)
Hg (0.748, 0.748, 0.748)

Values from the calculation:
Calculated density, g/cm3: 10.4
Crystal system: trigonal
Symmetry: R-3m (166)
VASP energy, eV per atom: -3.551
Calculated formation energy, meV/atom: -411
Magnetization, Bohr magnetons per cell: 0.000